[1]
PBE-GGA CdB3I, relaxed; E_form (uncorrected) = 12.44 eV/f.u.; N(E_F) = 2.56 states/eV/cell; E_tot = -0.1478 Ry per atom; total magnetic moment = 0.0 μB per formula unit; energy relative to the lowest polymorph listed for this composition = 0.331 eV/atom
1.0
-1.304 0.395 4.280
-0.684 -4.435 0.201
4.244 -0.593 1.348
B Cd I
3 1 1
Cartesian
2.122 -0.297 0.674
-0.342 -2.217 0.101
-0.652 0.198 2.140
1.128 -2.316 2.915
0.000 0.000 0.000

---

[2]
PBE-GGA CdBIN2, relaxed; E_form (uncorrected) = 11.72 eV/f.u.; N(E_F) = 2.29 states/eV/cell; E_tot = -0.2069 Ry per atom; total magnetic moment = 3.5 μB per formula unit; energy relative to the lowest polymorph listed for this composition = 0.590 eV/atom
1.0
-4.269 -0.312 0.332
-0.029 -2.932 -3.136
0.704 -4.838 4.517
Cd I N B
1 1 2 1
Cartesian
0.000 0.000 0.000
0.352 -2.419 2.258
-2.135 -0.156 0.166
-0.015 -1.466 -1.568
-1.797 -4.041 0.856

---

[3]
PBE-GGA CdBIN2, relaxed; E_form (uncorrected) = 8.77 eV/f.u.; N(E_F) = 2.24 states/eV/cell; E_tot = -0.2503 Ry per atom; total magnetic moment = 0.0 μB per formula unit; energy relative to the lowest polymorph listed for this composition = 0.000 eV/atom
1.0
-2.106 1.489 -2.591
-2.924 -0.369 2.164
1.107 5.930 2.507
B N Cd I
1 2 1 1
Cartesian
0.000 0.000 0.000
-1.462 -0.185 1.082
-1.053 0.744 -1.296
-1.962 3.525 1.040
0.554 2.965 1.253

---

[4]
PBE-GGA NbCdBI2, relaxed; E_form (uncorrected) = 6.56 eV/f.u.; N(E_F) = 6.77 states/eV/cell; E_tot = -0.2088 Ry per atom; total magnetic moment = 0.9 μB per formula unit
1.0
-1.067 0.596 -5.302
-2.467 -5.203 -0.089
-4.800 2.255 1.220
I Cd B Nb
2 1 1 1
Cartesian
-0.534 0.298 -2.651
-2.400 1.127 0.610
-1.233 -2.602 -0.044
-4.167 -1.176 -2.086
0.000 0.000 0.000

---

[5]
PBE-GGA CdBI2O, relaxed; E_form (uncorrected) = -0.39 eV/f.u.; N(E_F) = 1.48 states/eV/cell; E_tot = -0.2358 Ry per atom; total magnetic moment = 0.5 μB per formula unit; energy relative to the lowest polymorph listed for this composition = 0.000 eV/atom
1.0
6.882 0.000 0.000
0.000 6.882 0.000
0.000 0.000 2.869
I O B Cd
2 1 1 1
Cartesian
0.000 3.441 0.000
3.441 0.000 0.000
0.000 0.000 1.435
0.000 0.000 0.000
3.441 3.441 1.435

---

[6]
PBE-GGA CdBI2O, relaxed; E_form (uncorrected) = 4.40 eV/f.u.; N(E_F) = 6.47 states/eV/cell; E_tot = -0.1653 Ry per atom; total magnetic moment = 0.9 μB per formula unit; energy relative to the lowest polymorph listed for this composition = 0.959 eV/atom
1.0
-0.574 5.650 -1.779
1.090 -1.656 -5.611
-4.057 -0.604 -0.610
I B O Cd
2 1 1 1
Cartesian
-0.287 2.825 -0.889
0.545 -0.828 -2.805
-1.771 1.695 -4.000
-2.029 -0.302 -0.305
0.000 0.000 0.000

---

[7]
PBE-GGA Cd2BRhI, relaxed; E_form (uncorrected) = 1.55 eV/f.u.; N(E_F) = 3.10 states/eV/cell; E_tot = -0.2331 Ry per atom; total magnetic moment = 0.0 μB per formula unit
1.0
-0.317 1.020 5.328
3.890 -0.736 0.373
1.081 5.242 -0.939
Rh Cd B I
1 2 1 1
Cartesian
0.000 0.000 0.000
-0.159 0.510 2.664
0.540 2.621 -0.469
1.945 -0.368 0.186
2.327 2.763 2.381

---

[8]
PBE-GGA CdB2SI, relaxed; E_form (uncorrected) = 10.14 eV/f.u.; N(E_F) = 4.09 states/eV/cell; E_tot = -0.1441 Ry per atom; total magnetic moment = 0.4 μB per formula unit
1.0
-3.124 -1.519 2.731
4.535 -1.753 4.214
-0.251 3.971 1.922
B S I Cd
2 1 1 1
Cartesian
-0.125 1.985 0.961
-1.562 -0.759 1.365
0.580 0.350 4.433
0.000 0.000 0.000
2.267 -0.876 2.107

---

[9]
PBE-GGA CdBSb2I, relaxed; E_form (uncorrected) = 3.83 eV/f.u.; N(E_F) = 3.36 states/eV/cell; E_tot = -0.1993 Ry per atom; total magnetic moment = 0.0 μB per formula unit; energy relative to the lowest polymorph listed for this composition = 0.000 eV/atom
1.0
5.011 0.000 0.000
0.000 5.011 0.000
0.000 0.000 4.971
I B Sb Cd
1 1 2 1
Cartesian
0.000 0.000 2.486
0.000 0.000 0.000
2.505 0.000 0.000
0.000 2.505 0.000
2.505 2.505 2.486

---

[10]
PBE-GGA CdBSb2I, relaxed; E_form (uncorrected) = 7.53 eV/f.u.; N(E_F) = 4.81 states/eV/cell; E_tot = -0.1450 Ry per atom; total magnetic moment = 0.4 μB per formula unit; energy relative to the lowest polymorph listed for this composition = 0.739 eV/atom
1.0
5.489 0.000 0.000
0.000 5.489 0.000
0.000 0.000 6.069
I B Sb Cd
1 1 2 1
Cartesian
0.000 0.000 3.035
2.745 2.745 3.035
2.745 0.000 0.000
0.000 2.745 0.000
0.000 0.000 0.000

---

[11]
PBE-GGA CdBTeI2, relaxed; E_form (uncorrected) = 3.08 eV/f.u.; N(E_F) = 2.16 states/eV/cell; E_tot = -0.1582 Ry per atom; total magnetic moment = 0.0 μB per formula unit; energy relative to the lowest polymorph listed for this composition = 0.000 eV/atom
1.0
5.089 0.000 0.000
0.000 5.089 0.000
0.000 0.000 5.144
Cd I Te B
1 2 1 1
Cartesian
2.545 2.545 2.572
2.545 0.000 0.000
0.000 2.545 0.000
0.000 0.000 2.572
0.000 0.000 0.000

---

[12]
PBE-GGA CdBTeI2, relaxed; E_form (uncorrected) = 5.41 eV/f.u.; N(E_F) = 3.23 states/eV/cell; E_tot = -0.1238 Ry per atom; total magnetic moment = 0.0 μB per formula unit; energy relative to the lowest polymorph listed for this composition = 0.467 eV/atom
1.0
-3.802 -4.275 -1.238
2.439 -3.363 4.123
-3.606 2.095 3.841
Te I Cd B
1 2 1 1
Cartesian
-1.803 1.047 1.921
-1.901 -2.137 -0.619
1.219 -1.682 2.062
0.000 0.000 0.000
-2.485 -2.771 3.363

---

[13]
PBE-GGA VCd2BI, relaxed; E_form (uncorrected) = 10.39 eV/f.u.; N(E_F) = 7.18 states/eV/cell; E_tot = -0.1292 Ry per atom; total magnetic moment = 0.0 μB per formula unit
1.0
5.818 0.000 0.000
0.000 4.326 0.000
0.000 0.000 5.818
Cd I B V
2 1 1 1
Cartesian
2.909 0.000 0.000
0.000 0.000 2.909
0.000 0.000 0.000
0.000 2.163 0.000
2.909 2.163 2.909